(1)
Density functional theory data (PBE) for a geometry-optimized MgCr2ReB structure.

Unit cell a=3.959 b=3.959 c=4.104 alpha=90.00 beta=90.00 gamma=90.00
Element x y z (fractional)
Mg 0.000 0.000 0.000
Cr 0.000 0.500 0.500
Cr 0.500 0.000 0.500
Re 0.500 0.500 0.000
B 0.000 0.000 0.500

Values from the calculation:
Symmetry ... No. 123
Energy relative to the elements ... 0.694 eV per atom

(2)
Density functional theory data (PBE) for a geometry-optimized MgCrBRh2 structure.

Unit cell a=4.366 b=4.366 c=4.897 alpha=90.00 beta=90.00 gamma=90.00
Element x y z (fractional)
Mg 0.000 0.000 0.000
Cr 0.000 0.000 0.500
B 0.500 0.500 0.000
Rh 0.000 0.500 0.500
Rh 0.500 0.000 0.500

Values from the calculation:
Symmetry ... No. 123
Energy relative to the elements ... 1.557 eV per atom

(3)
Density functional theory data (PBE) for a geometry-optimized Mg2CrB2Ru5 structure.

Unit cell a=9.352 b=9.352 c=2.925 alpha=90.00 beta=90.00 gamma=90.00
Element x y z (fractional)
Mg 0.177 0.323 0.000
Mg 0.323 0.823 0.000
Mg 0.677 0.177 0.000
Mg 0.823 0.677 0.000
Cr 0.000 0.000 0.000
Cr 0.500 0.500 0.000
B 0.124 0.624 0.000
B 0.376 0.124 0.000
B 0.624 0.876 0.000
B 0.876 0.376 0.000
Ru 0.000 0.500 0.500
Ru 0.068 0.789 0.500
Ru 0.211 0.068 0.500
Ru 0.289 0.568 0.500
Ru 0.432 0.289 0.500
Ru 0.500 0.000 0.500
Ru 0.568 0.711 0.500
Ru 0.711 0.432 0.500
Ru 0.789 0.932 0.500
Ru 0.932 0.211 0.500

Values from the calculation:
Symmetry ... No. 127
Energy relative to the elements ... -0.144 eV per atom

(4)
Density functional theory data (PBE) for a geometry-optimized MgCrBS2 structure.

Unit cell a=4.794 b=4.794 c=4.282 alpha=90.00 beta=90.00 gamma=90.00
Element x y z (fractional)
Mg 0.000 0.000 0.000
Cr 0.500 0.500 0.500
B 0.000 0.000 0.500
S 0.000 0.500 0.000
S 0.500 0.000 0.000

Values from the calculation:
Energy relative to the elements, uncorrected ... 953 meV/atom
Symmetry ... No. 123

(5)
Density functional theory data (PBE) for a geometry-optimized MgCrTcB2 structure.

Unit cell a=4.004 b=4.004 c=4.495 alpha=90.00 beta=90.00 gamma=90.00
Element x y z (fractional)
Mg 0.000 0.000 0.000
Cr 0.500 0.500 0.500
Tc 0.000 0.000 0.500
B 0.000 0.500 0.000
B 0.500 0.000 0.000

Values from the calculation:
Symmetry ... No. 123
Energy relative to the elements ... 2.508 eV per atom

(6)
Density functional theory data (PBE) for a geometry-optimized MgVCrB2 structure.

Unit cell a=4.143 b=4.143 c=4.205 alpha=90.00 beta=90.00 gamma=90.00
Element x y z (fractional)
Mg 0.000 0.000 0.000
V 0.500 0.500 0.500
Cr 0.500 0.500 0.000
B 0.000 0.500 0.500
B 0.500 0.000 0.500

Values from the calculation:
Symmetry ... No. 123
Energy relative to the elements ... 1.112 eV per atom

(7)
Density functional theory data (PBE) for a geometry-optimized Mn3CrB structure.

Unit cell a=3.763 b=3.763 c=3.763 alpha=90.00 beta=90.00 gamma=90.00
Element x y z (fractional)
Mn 0.000 0.000 0.500
Mn 0.000 0.500 0.000
Mn 0.500 0.000 0.000
Cr 0.500 0.500 0.500
B 0.000 0.000 0.000

Values from the calculation:
Distance to the lowest polymorph of the same formula ... 0 meV per atom
Symmetry ... No. 221
Energy relative to the elements ... 0.228 eV per atom

(8)
Density functional theory data (PBE) for a geometry-optimized MnCr2B2 structure.

Unit cell a=5.931 b=5.931 c=4.024 alpha=90.00 beta=90.00 gamma=137.41
Element x y z (fractional)
Mn 0.000 0.000 0.000
Mn 0.000 0.000 0.500
Cr 0.209 0.791 0.750
Cr 0.418 0.582 0.250
Cr 0.582 0.418 0.750
Cr 0.791 0.209 0.250
B 0.163 0.409 0.750
B 0.409 0.163 0.250
B 0.591 0.837 0.750
B 0.837 0.591 0.250

Values from the calculation:
Distance to the lowest polymorph of the same formula ... 468 meV per atom
Symmetry ... No. 63
Energy relative to the elements ... 0.032 eV per atom

(9)
Density functional theory data (PBE) for a geometry-optimized Mn3CrB structure.

Unit cell a=4.250 b=4.250 c=4.250 alpha=90.00 beta=90.00 gamma=90.00
Element x y z (fractional)
Mn 0.000 0.000 0.500
Mn 0.000 0.500 0.000
Mn 0.500 0.000 0.000
Cr 0.000 0.000 0.000
B 0.500 0.500 0.500

Values from the calculation:
Distance to the lowest polymorph of the same formula ... 1470 meV per atom
Symmetry ... No. 221
Energy relative to the elements ... 1.698 eV per atom

(10)
Density functional theory data (PBE) for a geometry-optimized Mn2CrB structure.

Unit cell a=3.688 b=3.688 c=2.858 alpha=90.00 beta=90.00 gamma=90.00
Element x y z (fractional)
Mn 0.000 0.500 0.000
Mn 0.500 0.000 0.000
Cr 0.000 0.000 0.500
B 0.500 0.500 0.500

Values from the calculation:
Symmetry ... No. 123
Energy relative to the elements ... 0.062 eV per atom

(11)
Density functional theory data (PBE) for a geometry-optimized Mn2CrB structure.

Unit cell a=8.213 b=8.213 c=3.706 alpha=90.00 beta=90.00 gamma=161.53
Element x y z (fractional)
Mn 0.032 0.968 0.750
Mn 0.242 0.758 0.250
Mn 0.758 0.242 0.750
Mn 0.968 0.032 0.250
Cr 0.383 0.617 0.750
Cr 0.617 0.383 0.250
B 0.156 0.844 0.750
B 0.844 0.156 0.250

Values from the calculation:
Symmetry ... No. 63
Energy relative to the elements ... 0.047 eV per atom

(12)
Density functional theory data (PBE) for a geometry-optimized MnCrB structure.

Unit cell a=6.765 b=6.765 c=2.895 alpha=90.00 beta=90.00 gamma=155.18
Element x y z (fractional)
Mn 0.204 0.796 0.750
Mn 0.796 0.204 0.250
Cr 0.413 0.587 0.750
Cr 0.587 0.413 0.250
B 0.038 0.962 0.750
B 0.962 0.038 0.250

Values from the calculation:
Distance to the lowest polymorph of the same formula ... 102 meV per atom
Symmetry ... No. 63
Energy relative to the elements ... -0.292 eV per atom